This record from Alexandria describes a relaxed Sr3Ca3Ac crystal. The functional is GGA-PBE.

Structure (CIF):
```
data_Sr3Ca3Ac
_chemical_formula_sum 'Sr18 Ca18 Ac6'
_cell_length_a 10.7562
_cell_length_b 10.7562
_cell_length_c 19.9558
_cell_angle_alpha 90.00
_cell_angle_beta 90.00
_cell_angle_gamma 120.00
_space_group_name_H-M_alt 'R -3'
_space_group_IT_number 148
_space_group_name_Hall '-R 3'
loop_
_atom_site_label
_atom_site_type_symbol
_atom_site_fract_x
_atom_site_fract_y
_atom_site_fract_z
Sr1 Sr 0.0442 0.8034 0.4151
Ca1 Ca 0.0533 0.8170 0.9166
Ac1 Ac 0.0000 0.0000 0.2430
```

The calculation puts the total energy at -2.1119 eV/atom. As for the formation energy: 0.0536 eV/atom.

This record from Alexandria describes a relaxed TlCoAgBr4 crystal. The functional is GGA-PBE.

Structure (CIF):
```
data_TlCoAgBr4
_chemical_formula_sum 'Tl2 Co2 Ag2 Br8'
_cell_length_a 7.305
_cell_length_b 7.305
_cell_length_c 10.068
_cell_angle_alpha 90.00
_cell_angle_beta 90.00
_cell_angle_gamma 90.00
_space_group_name_H-M_alt 'I -4'
_space_group_IT_number 82
_space_group_name_Hall 'I -4'
loop_
_atom_site_label
_atom_site_type_symbol
_atom_site_fract_x
_atom_site_fract_y
_atom_site_fract_z
Tl1 Tl 0.000 0.000 0.000
Co1 Co 0.000 0.500 0.750
Ag1 Ag 0.000 0.000 0.500
Br1 Br 0.174 0.264 0.641
```

The calculation puts the total energy at -3.1743 eV/atom. The value obtained for the formation energy without anion corrections is -0.458 eV/atom.

Please write out number 1 again, unchanged.
This record from Alexandria describes a relaxed Sr3Ca3Ac crystal. The functional is GGA-PBE.

Structure (CIF):
```
data_Sr3Ca3Ac
_chemical_formula_sum 'Sr18 Ca18 Ac6'
_cell_length_a 10.7562
_cell_length_b 10.7562
_cell_length_c 19.9558
_cell_angle_alpha 90.00
_cell_angle_beta 90.00
_cell_angle_gamma 120.00
_space_group_name_H-M_alt 'R -3'
_space_group_IT_number 148
_space_group_name_Hall '-R 3'
loop_
_atom_site_label
_atom_site_type_symbol
_atom_site_fract_x
_atom_site_fract_y
_atom_site_fract_z
Sr1 Sr 0.0442 0.8034 0.4151
Ca1 Ca 0.0533 0.8170 0.9166
Ac1 Ac 0.0000 0.0000 0.2430
```

The calculation puts the total energy at -2.1119 eV/atom. As for the formation energy: 0.0536 eV/atom.

Copy entry 2 word for word.
This record from Alexandria describes a relaxed TlCoAgBr4 crystal. The functional is GGA-PBE.

Structure (CIF):
```
data_TlCoAgBr4
_chemical_formula_sum 'Tl2 Co2 Ag2 Br8'
_cell_length_a 7.305
_cell_length_b 7.305
_cell_length_c 10.068
_cell_angle_alpha 90.00
_cell_angle_beta 90.00
_cell_angle_gamma 90.00
_space_group_name_H-M_alt 'I -4'
_space_group_IT_number 82
_space_group_name_Hall 'I -4'
loop_
_atom_site_label
_atom_site_type_symbol
_atom_site_fract_x
_atom_site_fract_y
_atom_site_fract_z
Tl1 Tl 0.000 0.000 0.000
Co1 Co 0.000 0.500 0.750
Ag1 Ag 0.000 0.000 0.500
Br1 Br 0.174 0.264 0.641
```

The calculation puts the total energy at -3.1743 eV/atom. The value obtained for the formation energy without anion corrections is -0.458 eV/atom.